KCdHO2 | Alexandria | PBE-GGA | relaxed; total moment = 0.0 μB/f.u.; DFT total energy = -4.151 eV/atom
1.0
4.3332 0.0000 0.0000
0.0000 5.6297 0.3610
0.0000 -1.3216 6.3408
K Cd H O
2 2 2 4
Cartesian
0.4870 1.8237 4.9361 K
3.8462 2.4845 1.7657 K
2.0653 -0.3304 1.5852 Cd
2.2679 -0.9912 4.7556 Cd
0.0000 0.0000 0.0000 H
0.0000 -0.6608 3.1704 H
3.4479 3.4342 6.5748 O
3.4479 0.2131 3.2975 O
0.8853 4.0950 3.4043 O
0.8853 0.8739 0.1271 O



K2CdH4Se2O10 | Alexandria | PBE-GGA | relaxed; total moment = 0.0 μB/f.u.; DFT total energy = -4.987 eV/atom
1.0
-5.5662 -3.3470 1.5502
-1.0968 -6.0330 -4.7790
3.6437 -9.6648 5.4602
K Cd H Se O
4 2 8 4 20
Cartesian
-3.8793 -11.1224 -0.1302 K
0.8599 -7.9225 2.3616 K
-4.0399 -4.7545 0.3097 K
1.0205 -14.2903 1.9218 K
-2.5195 -15.6036 0.5733 Cd
-0.4999 -3.4413 1.6581 Cd
-1.7423 -10.9592 2.8551 H
-1.2771 -8.0857 -0.6236 H
-0.9757 -11.7945 3.9186 H
-2.0437 -7.2503 -1.6872 H
-1.7209 -13.0367 1.6403 H
-1.2984 -6.0082 0.5911 H
-2.3323 -13.9399 2.8376 H
-0.6871 -5.1050 -0.6061 H
-4.6880 -7.9007 -2.0470 Se
1.6686 -11.1442 4.2784 Se
-2.7819 -7.9396 2.3496 Se
-0.2375 -11.1053 -0.1182 Se
-5.6562 -8.0931 -0.7130 O
2.6368 -10.9518 2.9444 O
-3.6158 -6.6262 -1.8489 O
0.5964 -12.4187 4.0803 O
-2.0538 -17.3415 2.0800 O
-0.9656 -1.7034 0.1514 O
-3.8285 -9.3375 -2.3058 O
0.8092 -9.7074 4.5372 O
-3.5561 -9.3812 2.1017 O
0.5367 -9.6636 0.1298 O
-1.7005 -7.5835 1.1145 O
-1.3189 -11.4613 1.1169 O
-1.8877 -7.9270 3.7814 O
-1.1317 -11.1179 -1.5499 O
-3.8743 -6.6459 2.4416 O
0.8549 -12.3989 -0.2102 O
-1.8175 -11.2607 3.7951 O
-1.2019 -7.7842 -1.5636 O
-1.7940 -13.9648 2.0073 O
-1.2254 -5.0801 0.2242 O



K2CdH6Os | Alexandria | PBE-GGA | relaxed; total moment = 0.0 μB/f.u.; DFT total energy = -3.654 eV/atom
1.0
5.2601 0.0000 0.0000
0.0000 5.8895 0.0000
0.0000 -2.9448 5.1005
K Cd H Os
2 1 6 1
Cartesian
1.0276 0.0000 3.4003 K
4.2325 2.9448 1.7002 K
2.6301 0.0000 0.0000 Cd
4.3854 0.0000 1.4896 H
4.3854 -1.6547 4.3557 H
4.3854 1.6547 4.3557 H
0.8747 4.5995 0.7448 H
0.8747 1.2901 0.7448 H
0.8747 2.9448 3.6109 H
0.0000 0.0000 0.0000 Os



K2CdPH | Alexandria | PBE-GGA | relaxed; total moment = 0.0 μB/f.u.; DFT total energy = -2.663 eV/atom
1.0
-2.8194 -3.3300 0.8884
0.8670 -2.5396 -6.7681
5.5228 -3.4485 4.6011
K Cd P H
4 2 2 2
Cartesian
2.1464 -6.9440 -2.4786 K
-1.2331 -4.5079 -4.0724 K
1.4241 -2.3741 1.2000 K
4.8036 -4.8102 2.7938 K
3.4374 -4.5405 -0.5311 Cd
0.1330 -4.7775 -0.7475 Cd
1.6886 -3.5999 -2.5555 P
1.8818 -5.7181 1.2769 P
4.6186 -5.8011 -1.5076 H
-1.0482 -3.5170 0.2290 H



K2CdHPb | Alexandria | PBE-GGA | relaxed; total moment = 0.0 μB/f.u.; DFT total energy = -2.000 eV/atom
1.0
5.5707 0.0000 0.0000
0.0000 5.5707 0.0000
0.0000 0.0000 4.7722
Pb H K Cd
1 1 2 1
Cartesian
0.0000 0.0000 2.3861 Pb
0.0000 0.0000 0.0000 H
0.0000 2.7854 0.0000 K
2.7854 0.0000 0.0000 K
2.7854 2.7854 2.3861 Cd



KCdH6Pd | Alexandria | PBE-GGA | relaxed; total moment = 0.0 μB/f.u.; DFT total energy = -3.050 eV/atom
1.0
-2.3141 -2.3086 3.7771
2.5681 -1.2964 4.0837
-1.1054 4.6680 2.1760
K Cd H Pd
1 1 6 1
Cartesian
-2.3142 -2.3083 3.7773 K
-0.3832 -0.0695 6.3280 Cd
0.6295 0.7110 2.4522 H
-1.6203 2.3317 3.2679 H
-1.0120 1.5323 5.2899 H
0.5219 2.5165 3.9576 H
0.1497 -0.3135 4.4063 H
-1.4766 0.0158 2.8754 H
-0.4680 1.1324 3.7081 Pd